[1]
DFT (PBE) results for a relaxed CaRh2Se crystal.

Cell and atoms, written as POSCAR:
```
CaRh2Se
1.0
0.000 3.306 3.306
3.306 0.000 3.306
3.306 3.306 0.000
Ca Rh Se
1 2 1
Direct
0.000 0.000 0.000
0.250 0.250 0.250
0.500 0.500 0.500
0.750 0.750 0.750
```

Values from the calculation:
The value obtained for the total magnetization is 0.503 μB per atom. The calculation puts the uncorrected energy at -20.686 eV/cell. The density of states at the Fermi level is 0.963 states/eV/atom.

[2]
DFT (PBE) results for a relaxed CaRh4Se crystal.

Cell and atoms, written as POSCAR:
```
CaRh4Se
1.0
0.000 3.731 3.731
3.731 0.000 3.731
3.731 3.731 0.000
Ca Rh Se
1 4 1
Direct
0.000 0.000 0.000
0.127 0.624 0.624
0.624 0.127 0.624
0.624 0.624 0.127
0.624 0.624 0.624
0.250 0.250 0.250
```

Values from the calculation:
The value obtained for the total magnetization is 0.000 μB per atom. The calculation puts the uncorrected energy at -34.871 eV/cell. The density of states at the Fermi level is 1.333 states/eV/atom.

[3]
DFT (PBE) results for a relaxed CaRhSe crystal.

Cell and atoms, written as POSCAR:
```
CaRhSe
1.0
4.107 0.000 0.000
0.000 4.107 0.000
0.000 0.000 7.064
Ca Rh Se
2 2 2
Direct
0.250 0.250 0.184
0.750 0.750 0.816
0.250 0.750 0.500
0.750 0.250 0.500
0.250 0.250 0.750
0.750 0.750 0.250
```

Values from the calculation:
The value obtained for the total magnetization is 0.000 μB per atom. As for the polymorph energy (0 for the lowest one): 126 meV per atom. The density of states at the Fermi level is 1.157 states/eV/atom.

[4]
DFT (PBE) results for a relaxed CaRh2Se2 crystal.

Cell and atoms, written as POSCAR:
```
CaRh2Se2
1.0
-2.003 2.003 6.054
2.003 -2.003 6.054
2.003 2.003 -6.054
Ca Rh Se
1 2 2
Direct
0.000 0.000 0.000
0.250 0.750 0.500
0.750 0.250 0.500
0.378 0.378 0.000
0.622 0.622 0.000
```

Values from the calculation:
The value obtained for the total magnetization is 0.000 μB per atom. As for the polymorph energy (0 for the lowest one): 8 meV per atom. The density of states at the Fermi level is 1.017 states/eV/atom.

[5]
DFT (PBE) results for a relaxed CaRhSe crystal.

Cell and atoms, written as POSCAR:
```
CaRhSe
1.0
4.216 0.000 0.000
-2.108 3.651 0.000
0.000 0.000 4.103
Ca Rh Se
1 1 1
Direct
0.000 0.000 0.000
0.667 0.333 0.500
0.333 0.667 0.500
```

Values from the calculation:
The value obtained for the total magnetization is 0.000 μB per atom. As for the polymorph energy (0 for the lowest one): 0 meV per atom. The density of states at the Fermi level is 0.704 states/eV/atom.

[6]
DFT (PBE) results for a relaxed Ca2SiRh crystal.

Cell and atoms, written as POSCAR:
```
Ca2SiRh
1.0
4.705 0.000 0.000
0.000 4.705 0.000
0.000 0.000 3.816
Ca Si Rh
2 1 1
Direct
0.000 0.500 0.000
0.500 0.000 0.000
0.000 0.000 0.500
0.500 0.500 0.500
```

Values from the calculation:
The value obtained for the total magnetization is 0.000 μB per atom. The calculation puts the uncorrected energy at -17.853 eV/cell. The density of states at the Fermi level is 0.867 states/eV/atom.

[7]
DFT (PBE) results for a relaxed CaSiRh2 crystal.

Cell and atoms, written as POSCAR:
```
CaSiRh2
1.0
-3.564 3.564 2.948
3.564 -3.564 2.948
3.564 3.564 -2.948
Ca Si Rh
2 2 4
Direct
0.000 0.000 0.000
0.750 0.250 0.500
0.250 0.750 0.500
0.500 0.500 0.000
0.207 0.625 0.082
0.375 0.457 0.582
0.543 0.125 0.918
0.875 0.793 0.418
```

Values from the calculation:
The value obtained for the total magnetization is 0.000 μB per atom. The calculation puts the uncorrected energy at -47.985 eV/cell. The density of states at the Fermi level is 0.299 states/eV/atom.

[8]
DFT (PBE) results for a relaxed CaSi2Rh2 crystal.

Cell and atoms, written as POSCAR:
```
CaSi2Rh2
1.0
-2.008 2.008 5.395
2.008 -2.008 5.395
2.008 2.008 -5.395
Ca Si Rh
1 2 2
Direct
0.000 0.000 0.000
0.250 0.750 0.500
0.750 0.250 0.500
0.370 0.370 0.000
0.630 0.630 0.000
```

Values from the calculation:
The value obtained for the total magnetization is 0.000 μB per atom. The calculation puts the uncorrected energy at -31.304 eV/cell. The density of states at the Fermi level is 0.271 states/eV/atom.

[9]
DFT (PBE) results for a relaxed Ca2SiRh crystal.

Cell and atoms, written as POSCAR:
```
Ca2SiRh
1.0
1.736 1.002 8.756
-1.736 1.002 8.756
0.000 -2.005 8.756
Ca Si Rh
2 1 1
Direct
0.244 0.244 0.244
0.756 0.756 0.756
0.000 0.000 0.000
0.500 0.500 0.500
```

Values from the calculation:
The value obtained for the total magnetization is 0.000 μB per atom. The calculation puts the uncorrected energy at -16.925 eV/cell. The density of states at the Fermi level is 0.641 states/eV/atom.

[10]
DFT (PBE) results for a relaxed Ca2SiRh crystal.

Cell and atoms, written as POSCAR:
```
Ca2SiRh
1.0
4.045 0.000 0.000
0.000 2.289 5.225
0.000 -2.289 5.225
Ca Si Rh
2 1 1
Direct
0.000 0.000 0.000
0.500 0.287 0.287
0.500 0.591 0.591
0.000 0.701 0.701
```

Values from the calculation:
The value obtained for the total magnetization is 0.000 μB per atom. The calculation puts the uncorrected energy at -19.146 eV/cell. The density of states at the Fermi level is 0.511 states/eV/atom.

[11]
DFT (PBE) results for a relaxed CaSiRh2 crystal.

Cell and atoms, written as POSCAR:
```
CaSiRh2
1.0
4.028 0.000 0.000
0.000 4.028 0.000
0.000 0.000 9.042
Ca Si Rh
2 2 4
Direct
0.250 0.250 0.212
0.750 0.750 0.788
0.250 0.250 0.642
0.750 0.750 0.358
0.250 0.250 0.893
0.250 0.750 0.500
0.750 0.250 0.500
0.750 0.750 0.107
```

Values from the calculation:
The value obtained for the total magnetization is 0.000 μB per atom. The calculation puts the uncorrected energy at -49.303 eV/cell. The density of states at the Fermi level is 0.405 states/eV/atom.

[12]
DFT (PBE) results for a relaxed CaSiRh2 crystal.

Cell and atoms, written as POSCAR:
```
CaSiRh2
1.0
3.000 0.000 0.000
0.000 3.006 0.000
-0.019 0.000 7.140
Ca Si Rh
1 1 2
Direct
0.000 0.000 0.000
0.000 0.000 0.500
0.500 0.500 0.306
0.500 0.500 0.694
```

Values from the calculation:
The value obtained for the total magnetization is 0.000 μB per atom. The calculation puts the uncorrected energy at -24.570 eV/cell. The density of states at the Fermi level is 0.339 states/eV/atom.